No. 1
12
Lattice="7.606 -2.536 0.000 7.606 2.536 0.000 -5.064 0.000 9.888" Properties=species:S:1:pos:R:3 comment="Nd5Dy5Mg2 (PBE, optimized geometry)" volume_a3_per_atom=31.78 formation_energy_ev_per_atom=0.012 pbc="T T T"
Nd 0.000 0.000 0.000
Nd -2.549 0.000 7.363
Nd 2.515 0.000 2.559
Nd 7.633 0.000 7.329
Nd 12.697 0.000 2.525
Dy 5.061 0.000 0.019
Dy 2.545 0.000 7.330
Dy 5.074 0.000 4.944
Dy 7.603 0.000 2.558
Dy 5.087 0.000 9.869
Mg 0.024 0.000 4.934
Mg 10.124 0.000 4.955



No. 2
4
Lattice="4.720 -2.270 0.000 4.720 2.270 0.000 -0.320 0.000 5.798" Properties=species:S:1:pos:R:3 comment="CsSbAsH (PBE, optimized geometry)" volume_a3_per_atom=31.06 e_above_lowest_polymorph_ev_per_fu=0.08 pbc="T T T"
Cs 0.000 0.000 0.000
Sb 6.315 0.000 2.940
As 3.185 0.000 2.754
H 6.204 0.000 4.724